Crystalline AlSb2Pb at its relaxed geometry, computed with PBE.

Its total energy is -3.701 eV/atom. For the offset from the most stable computed form, the calculation gives 69 kJ/mol of formula units.

The space group is I4/mmm (No. 139) and the conventional cell measures 4.8097, 4.8097 and 9.3390 Å, with angles of 90.00, 90.00 and 90.00 degrees. The inequivalent atoms are Al at (0.0000, 0.0000, 0.0000), Sb at (0.0000, 0.5000, 0.2500) and Pb at (0.0000, 0.0000, 0.5000).